(1)
Density functional theory data (PBE) for a geometry-optimized RbMgTl4Cd2 structure.

```
RbMgTl4Cd2
1.0
-4.8933 1.2315 -1.1370
-3.8558 -1.6780 3.0118
-2.0582 8.9619 6.7995
Rb Mg Tl Cd
1 1 4 2
direct
0.0000 0.0000 0.0000
0.5000 0.5000 0.5000
0.4032 0.4032 0.7904
0.8699 0.8699 0.3903
0.1301 0.1301 0.6097
0.5968 0.5968 0.2096
0.7648 0.7648 0.7055
0.2352 0.2352 0.2945
```

Properties
V ... 31.97 Å³/atom
Energy relative to the elements ... -4 kJ/mol of atoms
Final energy ... -1.77 eV per atom



(2)
Density functional theory data (PBE) for a geometry-optimized RbMgZrCd2 structure.

```
RbMgZrCd2
1.0
-2.2026 -4.8900 -0.9435
4.7731 -1.7783 -1.9258
1.4372 -1.6239 5.0615
Mg Rb Zr Cd
1 1 1 2
direct
0.0000 0.0000 0.0000
0.5000 0.5000 0.5000
0.0000 0.0000 0.5000
0.0000 0.5000 0.0000
0.5000 0.0000 0.0000
```

Properties
V ... 32.66 Å³/atom
Energy relative to the elements ... 68 kJ/mol of atoms
Final energy ... -1.89 eV per atom



(3)
Density functional theory data (PBE) for a geometry-optimized MgCdRe2 structure.

```
MgCdRe2
1.0
-0.5243 -1.5713 -5.1997
-4.0420 -3.3500 -1.4901
1.3021 4.7651 2.3193
Cd Mg Re
1 1 2
direct
0.2500 0.7500 0.5000
0.7500 0.2500 0.5000
0.9990 0.9990 0.0000
0.5010 0.5010 0.0000
```

Properties
V ... 16.53 Å³/atom
Excess energy over the best structure of this formula in the dataset ... 0.318 eV/atom
Energy relative to the elements ... 44 kJ/mol of atoms
Final energy ... -6.40 eV per atom